First-principles (meta-GGA SCAN) data for CuWCl2 at its PBEsol-relaxed geometry, as listed in Alexandria via LeMat-Bulk.

Properties
Volume: 117.1 Å³ per cell
Calculated density: 9.03 g/cm³
ΔE_f (raw): 22.29 kcal/mol of atoms

Unit cell a=5.7583 b=7.0838 c=2.8700 alpha=90.00 beta=90.00 gamma=90.00
Closest atoms and distances in Å follow each position.
Space group Cmmm (No. 65)
One atom of each set of equivalent atoms:
Cu  0.0000  0.0000  0.0000  8 Cl 2.70, 2 Cu 2.87, 2 W 2.88
W  0.0000  0.5000  0.0000  8 Cl 2.70, 2 W 2.87, 2 Cu 2.88
Cl  0.2500  0.2500  0.5000  4 W 2.70, 4 Cu 2.70, 4 Cl 2.87-2.88